## K2In3Sn5 (GGA-PBE)

Data for an optimized crystal structure of K2In3Sn5.

Summary:
ΔE_f ... -0.15 eV/atom
Energy above the most stable polymorph in this dataset ... 0 meV per atom

a b c (Å): 10.2124 10.2124 10.2124
angles (deg): 110.11 85.58 137.16
Positions (direct):
1 K 0.1252 0.2497 0.3749
2 K 0.3748 0.7497 0.1245
3 K 0.6252 0.2503 0.8755
4 K 0.8748 0.7503 0.6251
5 In 0.1250 0.6253 0.7503
6 In 0.2500 0.2500 0.0000
7 In 0.3750 0.1253 0.5003
8 In 0.6250 0.8747 0.4997
9 In 0.7500 0.7500 0.0000
10 In 0.8750 0.3747 0.2497
11 Sn 0.0007 0.2500 0.7507
12 Sn 0.1237 0.8729 0.9965
13 Sn 0.2500 0.7500 0.5000
14 Sn 0.3763 0.3729 0.7492
15 Sn 0.4993 0.2500 0.2493
16 Sn 0.5007 0.7500 0.7507
17 Sn 0.6237 0.6271 0.2508
18 Sn 0.7500 0.2500 0.5000
19 Sn 0.8763 0.1271 0.0035
20 Sn 0.9993 0.7500 0.2493

## K3In2Sn3 (GGA-PBE)

Data for an optimized crystal structure of K3In2Sn3.

Summary:
ΔE_f ... -0.13 eV/atom

a b c (Å): 6.9141 6.9141 19.1720
angles (deg): 90.00 90.00 141.73
Positions (direct):
1 K 0.0748 0.9252 0.7500
2 K 0.1344 0.8656 0.5389
3 K 0.1344 0.8656 0.9611
4 K 0.8656 0.1344 0.0389
5 K 0.8656 0.1344 0.4611
6 K 0.9252 0.0748 0.2500
7 In 0.2238 0.7762 0.1506
8 In 0.2238 0.7762 0.3494
9 In 0.7762 0.2238 0.6506
10 In 0.7762 0.2238 0.8494
11 Sn 0.3550 0.6450 0.7500
12 Sn 0.4369 0.5631 0.6097
13 Sn 0.4369 0.5631 0.8903
14 Sn 0.5631 0.4369 0.1097
15 Sn 0.5631 0.4369 0.3903
16 Sn 0.6450 0.3550 0.2500

## K3InSn (GGA-PBE)

Data for an optimized crystal structure of K3InSn.

Summary:
ΔE_f ... 0.27 eV/atom
Energy above the most stable polymorph in this dataset ... 268 meV per atom

a b c (Å): 6.7339 6.7339 6.7339
angles (deg): 90.00 90.00 90.00
Positions (direct):
1 K 0.0000 0.0000 0.5000
2 K 0.0000 0.5000 0.0000
3 K 0.5000 0.0000 0.0000
4 In 0.5000 0.5000 0.5000
5 Sn 0.0000 0.0000 0.0000

## K3InSn (GGA-PBE)

Data for an optimized crystal structure of K3InSn.

Summary:
ΔE_f ... 0.00 eV/atom
Energy above the most stable polymorph in this dataset ... 0 meV per atom

a b c (Å): 8.9387 8.9387 8.9387
angles (deg): 81.69 121.90 128.03
Positions (direct):
1 K 0.1624 0.9989 0.6635
2 K 0.2503 0.0088 0.2590
3 K 0.2503 0.4912 0.7415
4 K 0.3354 0.4989 0.3365
5 K 0.7497 0.5088 0.2585
6 K 0.7497 0.9912 0.7410
7 In 0.2490 0.7488 0.0002
8 In 0.7486 0.2488 0.9998
9 Sn 0.7486 0.9992 0.2494
10 Sn 0.7498 0.4992 0.7506

## K2InSn (GGA-PBE)

Data for an optimized crystal structure of K2InSn.

Summary:
ΔE_f ... -0.13 eV/atom
Energy above the most stable polymorph in this dataset ... 8 meV per atom

a b c (Å): 9.0431 9.0431 9.0431
angles (deg): 31.82 31.82 31.82
Positions (direct):
1 K 0.0000 0.0000 0.0000
2 K 0.1920 0.1920 0.1920
3 In 0.7749 0.7749 0.7749
4 Sn 0.4182 0.4182 0.4182

## K2InSn (GGA-PBE)

Data for an optimized crystal structure of K2InSn.

Summary:
ΔE_f ... -0.14 eV/atom
Energy above the most stable polymorph in this dataset ... 0 meV per atom

a b c (Å): 6.9995 6.9995 10.0577
angles (deg): 115.88 115.88 45.84
Positions (direct):
1 K 0.0000 0.0000 0.0000
2 K 0.0069 0.0069 0.4487
3 K 0.3533 0.3533 0.1354
4 K 0.5991 0.5991 0.8010
5 In 0.2968 0.2968 0.4358
6 In 0.7575 0.7575 0.5883
7 Sn 0.2961 0.2961 0.7473
8 Sn 0.6849 0.6849 0.2584

## KIn2Sn (GGA-PBE)

Data for an optimized crystal structure of KIn2Sn.

Summary:
ΔE_f ... 0.03 eV/atom

a b c (Å): 7.2216 7.2216 7.2216
angles (deg): 102.52 102.52 124.51
Positions (direct):
1 K 0.0000 0.0000 0.0000
2 K 0.7500 0.2500 0.5000
3 In 0.1804 0.1250 0.5554
4 In 0.3750 0.8196 0.9446
5 In 0.5696 0.6250 0.4446
6 In 0.8750 0.4304 0.0554
7 Sn 0.2500 0.7500 0.5000
8 Sn 0.5000 0.5000 0.0000

## KInSn (GGA-PBE)

Data for an optimized crystal structure of KInSn.

Summary:
ΔE_f ... -0.23 eV/atom

a b c (Å): 4.8892 4.8892 8.5936
angles (deg): 90.00 90.00 90.00
Positions (direct):
1 K 0.2500 0.2500 0.1569
2 K 0.7500 0.7500 0.8431
3 In 0.2500 0.7500 0.5000
4 In 0.7500 0.2500 0.5000
5 Sn 0.2500 0.2500 0.7157
6 Sn 0.7500 0.7500 0.2843

## KInSn (GGA-PBE)

Data for an optimized crystal structure of KInSn.

Summary:
ΔE_f ... -0.17 eV/atom

a b c (Å): 8.1515 8.1515 4.3263
angles (deg): 105.16 105.16 121.24
Positions (direct):
1 K 0.1913 0.8087 0.0000
2 K 0.8087 0.1913 0.0000
3 In 0.2399 0.2399 0.7423
4 In 0.7601 0.7601 0.2577
5 Sn 0.3952 0.6048 0.5000
6 Sn 0.6048 0.3952 0.5000

## KIn3Sn (GGA-PBE)

Data for an optimized crystal structure of KIn3Sn.

Summary:
ΔE_f ... 0.86 eV/atom
Energy above the most stable polymorph in this dataset ... 1009 meV per atom

a b c (Å): 5.9175 5.9175 5.9175
angles (deg): 90.00 90.00 90.00
Positions (direct):
1 K 0.0000 0.0000 0.0000
2 In 0.0000 0.0000 0.5000
3 In 0.0000 0.5000 0.0000
4 In 0.5000 0.0000 0.0000
5 Sn 0.5000 0.5000 0.5000

## KInSn (GGA-PBE)

Data for an optimized crystal structure of KInSn.

Summary:
ΔE_f ... -0.18 eV/atom

a b c (Å): 5.1876 5.1876 8.0950
angles (deg): 90.00 90.00 120.00
Positions (direct):
1 K 0.0000 0.0000 0.0000
2 K 0.0000 0.0000 0.5000
3 In 0.6667 0.3333 0.1963
4 In 0.6667 0.3333 0.8037
5 Sn 0.3333 0.6667 0.3015
6 Sn 0.3333 0.6667 0.6985

## KIn5Sn (GGA-PBE)

Data for an optimized crystal structure of KIn5Sn.

Summary:
ΔE_f ... -0.02 eV/atom

a b c (Å): 4.5336 4.5336 11.0119
angles (deg): 90.00 90.00 90.00
Positions (direct):
1 K 0.0000 0.0000 0.0000
2 In 0.0000 0.5000 0.2671
3 In 0.0000 0.5000 0.7329
4 In 0.5000 0.0000 0.2671
5 In 0.5000 0.0000 0.7329
6 In 0.5000 0.5000 0.5000
7 Sn 0.0000 0.0000 0.5000

## KSr2In2Sn2 (GGA-PBE)

Data for an optimized crystal structure of KSr2In2Sn2.

Summary:
ΔE_f ... -0.27 eV/atom

a b c (Å): 10.7769 10.7769 10.7769
angles (deg): 29.08 29.08 29.08
Positions (direct):
1 K 0.0000 0.0000 0.0000
2 Sr 0.1323 0.1323 0.1323
3 Sr 0.8677 0.8677 0.8677
4 In 0.4273 0.4273 0.4273
5 In 0.5727 0.5727 0.5727
6 Sn 0.2504 0.2504 0.2504
7 Sn 0.7496 0.7496 0.7496

## K2SrInSn2 (GGA-PBE)

Data for an optimized crystal structure of K2SrInSn2.

Summary:
ΔE_f ... -0.32 eV/atom

a b c (Å): 5.0130 10.2016 8.4188
angles (deg): 90.00 90.00 90.00
Positions (direct):
1 K 0.0000 0.0821 0.0000
2 K 0.0000 0.9179 0.5000
3 K 0.5000 0.1611 0.3178
4 K 0.5000 0.8389 0.8178
5 Sr 0.5000 0.4548 0.9792
6 Sr 0.5000 0.5452 0.4792
7 In 0.0000 0.3298 0.6297
8 In 0.0000 0.6702 0.1297
9 Sn 0.0000 0.3929 0.2631
10 Sn 0.0000 0.6071 0.7631
11 Sn 0.5000 0.1865 0.7255
12 Sn 0.5000 0.8135 0.2255

## KInSnTe3 (GGA-PBE)

Data for an optimized crystal structure of KInSnTe3.

Summary:
Formation energy from raw total energies ... -0.501 eV/atom

a b c (Å): 9.6308 4.6802 11.4860
angles (deg): 90.00 109.09 90.00
Positions (direct):
1 K 0.2239 0.2500 0.2068
2 K 0.7761 0.7500 0.7932
3 In 0.0831 0.2500 0.6346
4 In 0.9169 0.7500 0.3654
5 Sn 0.3317 0.7500 0.8873
6 Sn 0.6683 0.2500 0.1127
7 Te 0.0738 0.2500 0.8708
8 Te 0.2094 0.7500 0.5547
9 Te 0.4718 0.7500 0.1577
10 Te 0.5282 0.2500 0.8423
11 Te 0.7906 0.2500 0.4453
12 Te 0.9262 0.7500 0.1292

## K2Tl3In4Sn (GGA-PBE)

Data for an optimized crystal structure of K2Tl3In4Sn.

Summary:
ΔE_f ... -0.09 eV/atom

a b c (Å): 5.0301 5.0301 13.0432
angles (deg): 90.00 90.00 90.00
Positions (direct):
1 K 0.0000 0.5000 0.2474
2 K 0.5000 0.0000 0.7526
3 Tl 0.0000 0.0000 0.0000
4 Tl 0.0000 0.5000 0.6396
5 Tl 0.5000 0.0000 0.3604
6 In 0.0000 0.0000 0.5000
7 In 0.0000 0.5000 0.8646
8 In 0.5000 0.0000 0.1354
9 In 0.5000 0.5000 0.5000
10 Sn 0.5000 0.5000 0.0000

## K2TlIn3Sn4 (GGA-PBE)

Data for an optimized crystal structure of K2TlIn3Sn4.

Summary:
ΔE_f ... -0.14 eV/atom

a b c (Å): 5.2346 5.2346 11.9594
angles (deg): 90.00 90.00 90.00
Positions (direct):
1 K 0.0000 0.5000 0.2481
2 K 0.5000 0.0000 0.7519
3 Tl 0.0000 0.0000 0.5000
4 In 0.0000 0.5000 0.8727
5 In 0.5000 0.0000 0.1273
6 In 0.5000 0.5000 0.5000
7 Sn 0.0000 0.0000 0.0000
8 Sn 0.0000 0.5000 0.6317
9 Sn 0.5000 0.0000 0.3683
10 Sn 0.5000 0.5000 0.0000

## K2TlIn6Sn (GGA-PBE)

Data for an optimized crystal structure of K2TlIn6Sn.

Summary:
ΔE_f ... -0.06 eV/atom

a b c (Å): 16.9424 16.9424 16.9424
angles (deg): 22.80 22.80 22.80
Positions (direct):
1 K 0.1476 0.1476 0.1476
2 K 0.2923 0.2923 0.2923
3 K 0.7077 0.7077 0.7077
4 K 0.8524 0.8524 0.8524
5 Tl 0.0000 0.0000 0.0000
6 Tl 0.5000 0.5000 0.5000
7 In 0.0994 0.6264 0.6264
8 In 0.2270 0.2270 0.7624
9 In 0.2270 0.7624 0.2270
10 In 0.2376 0.7730 0.7730
11 In 0.3736 0.3736 0.9006
12 In 0.3736 0.9006 0.3736
13 In 0.6264 0.0994 0.6264
14 In 0.6264 0.6264 0.0994
15 In 0.7624 0.2270 0.2270
16 In 0.7730 0.2376 0.7730
17 In 0.7730 0.7730 0.2376
18 In 0.9006 0.3736 0.3736
19 Sn 0.3617 0.3617 0.3617
20 Sn 0.6383 0.6383 0.6383

## K2TlIn4Sn3 (GGA-PBE)

Data for an optimized crystal structure of K2TlIn4Sn3.

Summary:
ΔE_f ... -0.14 eV/atom

a b c (Å): 5.1780 5.1780 12.1551
angles (deg): 90.00 90.00 90.00
Positions (direct):
1 K 0.0000 0.5000 0.2476
2 K 0.5000 0.0000 0.7524
3 Tl 0.0000 0.0000 0.5000
4 In 0.0000 0.0000 0.0000
5 In 0.0000 0.5000 0.6340
6 In 0.5000 0.0000 0.3660
7 In 0.5000 0.5000 0.0000
8 Sn 0.0000 0.5000 0.8716
9 Sn 0.5000 0.0000 0.1284
10 Sn 0.5000 0.5000 0.5000

## KVInSn2 (GGA-PBE)

Data for an optimized crystal structure of KVInSn2.

Summary:
ΔE_f ... -0.01 eV/atom

a b c (Å): 5.2074 5.2074 5.3304
angles (deg): 90.00 90.00 90.00
Positions (direct):
1 K 0.0000 0.0000 0.0000
2 V 0.5000 0.5000 0.5000
3 In 0.5000 0.5000 0.0000
4 Sn 0.0000 0.5000 0.5000
5 Sn 0.5000 0.0000 0.5000

## K2YInSn (GGA-PBE)

Data for an optimized crystal structure of K2YInSn.

Summary:
ΔE_f ... 0.48 eV/atom

a b c (Å): 6.1138 6.1138 6.0314
angles (deg): 90.00 90.00 90.00
Positions (direct):
1 K 0.0000 0.5000 0.0000
2 K 0.5000 0.0000 0.0000
3 Y 0.0000 0.0000 0.5000
4 In 0.0000 0.0000 0.0000
5 Sn 0.5000 0.5000 0.5000

## K2ZnIn4Sn3 (GGA-PBE)

Data for an optimized crystal structure of K2ZnIn4Sn3.

Summary:
ΔE_f ... -0.12 eV/atom

a b c (Å): 5.0557 5.0557 12.1829
angles (deg): 90.00 90.00 90.00
Positions (direct):
1 K 0.0000 0.5000 0.2447
2 K 0.5000 0.0000 0.7553
3 Zn 0.5000 0.5000 0.0000
4 In 0.0000 0.0000 0.5000
5 In 0.0000 0.5000 0.8753
6 In 0.5000 0.0000 0.1247
7 In 0.5000 0.5000 0.5000
8 Sn 0.0000 0.0000 0.0000
9 Sn 0.0000 0.5000 0.6361
10 Sn 0.5000 0.0000 0.3639

## K2Zn3InSn4 (GGA-PBE)

Data for an optimized crystal structure of K2Zn3InSn4.

Summary:
ΔE_f ... -0.13 eV/atom

a b c (Å): 4.7490 4.7490 12.0609
angles (deg): 90.00 90.00 90.00
Positions (direct):
1 K 0.0000 0.5000 0.2479
2 K 0.5000 0.0000 0.7521
3 Zn 0.0000 0.5000 0.8654
4 Zn 0.5000 0.0000 0.1346
5 Zn 0.5000 0.5000 0.5000
6 In 0.0000 0.0000 0.5000
7 Sn 0.0000 0.0000 0.0000
8 Sn 0.0000 0.5000 0.6408
9 Sn 0.5000 0.0000 0.3592
10 Sn 0.5000 0.5000 0.0000

Theoretical density: 5.2, 4.1, 1.9, 2.5, 2.8, 3.3, 4.7, 4.4, 4.4, 4.0, 4.8, 5.4, 4.3, 4.0, 4.4, 6.4, 5.6, 5.6, 5.6, 5.1, 3.0, 5.1, 5.3 (g/cm³)